Ca3Al8Cu3 GGA-PBE optimized geometry; SG = C2/m; energy of formation from the pure elements = -0.2613 eV per atom; total energy = -51.9 eV for the cell shown; crystal system = monoclinic
1.0
4.2264 0.0000 1.1148
1.4469 7.4385 3.0834
0.0966 -0.3860 8.2028
Ca Al Cu
3 8 3
Direct
0.2880 0.7110 0.7131
0.7120 0.2890 0.2869
0.0000 0.0000 0.0000
0.1359 0.1540 0.5742
0.8641 0.8460 0.4258
0.8528 0.4271 0.8674
0.1472 0.5729 0.1326
0.5040 0.6681 0.3239
0.4960 0.3319 0.6761
0.3461 0.0264 0.2814
0.6539 0.9736 0.7186
0.0000 0.5000 0.5000
0.6510 0.7036 0.9943
0.3490 0.2964 0.0057